# 1
10
Lattice="-1.3683 4.5437 2.5394 -4.7132 -4.6610 0.1020 4.4926 -3.6314 8.8711" Properties=species:S:1:pos:R:3 comment="La3TlPb, relaxed, DFT PBE-GGA" de_polymorph_kj_per_mol_fu=0 crystal_system=triclinic formation_energy_mev_per_atom=-344 pbc="T T T"
La -3.7392 -2.4898 2.4258
La 1.0242 -2.7356 5.4214
La -1.2383 -2.6348 9.7271
La -0.3507 -1.1139 1.7854
La 2.1502 -1.2588 9.0866
La -2.6132 -1.0130 6.0911
Tl 0.1700 0.4450 4.9726
Tl -1.7590 -4.1936 6.5398
Pb -2.8688 0.5594 3.1403
Pb 1.2798 -4.3080 8.3721

---

# 2
20
Lattice="6.5205 -0.2206 -0.2289 1.8794 5.9597 0.4871 1.8794 0.2659 5.9736" Properties=species:S:1:pos:R:3 comment="ZnAs2PdO6, relaxed, DFT PBE-GGA" crystal_system=monoclinic pbc="T T T"
Zn 3.5096 5.1610 1.1463
Zn 6.7698 0.8439 5.0855
As 4.3629 4.3437 4.2302
As 2.6562 2.0490 1.8487
As 5.9165 1.6612 2.0016
As 7.6231 3.9560 4.3830
Pd 3.5096 1.9056 4.2832
Pd 6.7698 4.0993 1.9486
O 4.5571 5.7414 5.2865
O 2.4620 1.0451 0.4129
O 5.7223 0.2636 0.9452
O 7.8174 4.9598 5.8189
O 4.9608 4.8731 2.6407
O 2.0583 3.6570 1.3786
O 5.3186 1.1319 3.5911
O 8.2210 2.3480 4.8531
O 2.6147 4.7958 3.7781
O 4.4044 2.5175 1.4137
O 7.6646 1.2092 2.4537
O 5.8750 3.4875 4.8180

---

# 3
4
Lattice="3.9805 0.0000 0.0000 0.0000 2.6573 0.0013 0.0000 1.3258 4.7871" Properties=species:S:1:pos:R:3 comment="Mn2IrOs, relaxed, DFT PBE-GGA" de_polymorph_kj_per_mol_fu=22 crystal_system=orthorhombic formation_energy_mev_per_atom=-57 pbc="T T T"
Ir 1.9903 3.1537 3.7517
Os 0.0000 1.8256 2.2207
Mn 0.0000 0.4985 0.0310
Mn 1.9903 0.4970 1.1791

---

# 4
18
Lattice="-0.9070 -1.0265 5.4525 7.7052 -6.1599 -2.7762 6.9340 7.5159 2.5685" Properties=species:S:1:pos:R:3 comment="LaY2Ho5Tm, relaxed, DFT PBE-GGA" crystal_system=orthorhombic formation_energy_mev_per_atom=165 pbc="T T T"
La 7.3433 5.5634 5.1673
La 9.2120 -2.1739 1.1232
Y 10.8343 0.4756 4.7901
Y 6.6939 4.0197 1.8703
Y 3.8495 0.8854 0.8071
Y 6.7958 -3.9530 3.2846
Ho 5.7464 -4.9814 0.0181
Ho 8.3532 2.6912 4.7945
Ho 12.0747 -0.8681 1.8452
Ho 9.2230 1.3650 1.7912
Ho 10.1722 -2.9904 4.0275
Ho 4.8247 1.8845 4.0557
Ho 6.2632 -1.4033 0.7777
Ho 1.4785 1.0037 3.3332
Ho 3.9400 -1.6524 3.2426
Ho 0.4448 -0.0568 0.0633
Tm 7.4341 -0.6563 4.0114
Tm 2.9977 -2.5915 0.0108

---

# 5
10
Lattice="2.9263 -5.3024 0.0000 2.9263 5.3024 0.0000 0.0000 0.0000 6.1766" Properties=species:S:1:pos:R:3 comment="Zr3CdH, relaxed, DFT PBE-GGA" de_polymorph_kj_per_mol_fu=107 crystal_system=orthorhombic pbc="T T T"
H 2.9263 3.9971 1.5441
H 2.9263 -3.9971 4.6324
Zr 4.3885 2.5288 1.5441
Zr 1.4642 2.5288 1.5441
Zr 4.3885 -2.5288 4.6324
Zr 1.4642 -2.5288 4.6324
Zr 0.0000 0.0000 0.0000
Zr 0.0000 0.0000 3.0883
Cd 2.9263 -0.1342 1.5441
Cd 2.9263 0.1342 4.6324

---

# 6
8
Lattice="-4.0399 0.7098 -0.1101 -0.3933 -3.2196 -6.3272 -1.0103 -4.9384 5.2369" Properties=species:S:1:pos:R:3 comment="NdDyU2As4, relaxed, DFT PBE-GGA" crystal_system=monoclinic formation_energy_mev_per_atom=-1125 pbc="T T T"
Nd 0.0000 0.0000 0.0000
Dy -2.2166 -1.2549 -3.2186
U -2.5251 -2.1143 2.5634
U -0.7018 -4.0790 -0.5452
As -2.3830 -1.7538 -0.3285
As -3.0605 -5.6944 -0.8718
As -0.8516 -4.4907 2.2997
As -0.5520 -3.6673 -3.3900

---

Record order is preserved below.
Total DFT energy (no corrections): -4.51, -5.47, -9.66, -4.86, -6.00, -7.44 eV per atom